(1)
This record from Alexandria describes a PBEsol-optimized structure of CaAg. The functional is meta-GGA SCAN.

```
CaAg
1.0
-0.911 -2.567 -3.963
3.203 -1.593 3.213
-3.957 -2.654 2.628
Ca Ag
2 2
direct
0.667 0.333 0.750
0.333 0.667 0.250
0.000 0.000 0.000
0.000 0.000 0.500
```

Energy (hartree per atom): -0.7630
Fermi-level density of states (states/eV per atom): 0.4821
Space-group type: P6_3/mmc
E_form (eV per atom): -0.246

(2)
This record from Alexandria describes a PBEsol-optimized structure of Ca2Ag. The functional is meta-GGA SCAN.

```
Ca2Ag
1.0
9.932 0.000 0.000
4.966 8.601 0.000
4.966 2.867 8.109
Ca Ag
16 8
direct
0.560 0.940 0.560
0.690 0.310 0.690
0.125 0.125 0.625
0.560 0.560 0.940
0.310 0.310 0.690
0.690 0.310 0.310
0.690 0.690 0.310
0.940 0.560 0.940
0.125 0.125 0.125
0.310 0.690 0.690
0.940 0.560 0.560
0.940 0.940 0.560
0.560 0.940 0.940
0.125 0.625 0.125
0.310 0.690 0.310
0.625 0.125 0.125
0.908 0.276 0.908
0.908 0.908 0.276
0.276 0.908 0.908
0.342 0.342 0.974
0.974 0.342 0.342
0.908 0.908 0.908
0.342 0.974 0.342
0.342 0.342 0.342
```

Energy (hartree per atom): -0.6290
Fermi-level density of states (states/eV per atom): 0.8142
Space-group type: Fd-3m
E_form (eV per atom): -0.218

(3)
This record from Alexandria describes a PBEsol-optimized structure of CaAg. The functional is meta-GGA SCAN.

```
CaAg
1.0
-1.477 -0.946 3.645
3.256 -3.155 0.500
4.067 4.278 0.514
Ca Ag
2 2
direct
0.142 0.250 0.284
0.858 0.750 0.716
0.574 0.750 0.147
0.426 0.250 0.853
```

Energy (hartree per atom): -0.7666
Fermi-level density of states (states/eV per atom): 0.5868
Space-group type: Cmcm
E_form (eV per atom): -0.346

(4)
This record from Alexandria describes a PBEsol-optimized structure of Ca3Ag2. The functional is meta-GGA SCAN.

```
Ca3Ag2
1.0
5.126 0.000 0.000
-2.563 4.439 0.000
0.000 0.000 6.270
Ag Ca
2 3
direct
0.333 0.667 0.846
0.667 0.333 0.154
0.333 0.667 0.338
0.000 0.000 0.000
0.667 0.333 0.662
```

Energy (hartree per atom): -0.6831
Fermi-level density of states (states/eV per atom): 0.7478
Space-group type: P-3m1
E_form (eV per atom): -0.242

(5)
This record from Alexandria describes a PBEsol-optimized structure of CaAg3. The functional is meta-GGA SCAN.

```
CaAg3
1.0
-3.806 -1.997 0.329
1.961 -3.815 -0.468
1.413 2.651 4.193
Ag Ca
3 1
direct
0.750 0.250 0.500
0.250 0.750 0.500
0.500 0.500 0.000
0.000 0.000 0.000
```

Energy (hartree per atom): -0.9597
Fermi-level density of states (states/eV per atom): 0.3565
Space-group type: I4/mmm
E_form (eV per atom): -0.173

(6)
This record from Alexandria describes a PBEsol-optimized structure of CaAg2. The functional is meta-GGA SCAN.

```
CaAg2
1.0
3.595 0.000 0.000
0.000 4.838 0.000
-1.797 0.000 7.264
Ca Ag
2 4
direct
0.901 0.250 0.801
0.099 0.750 0.199
0.772 0.750 0.543
0.228 0.250 0.457
0.427 0.750 0.853
0.573 0.250 0.147
```

Energy (hartree per atom): -0.8938
Fermi-level density of states (states/eV per atom): 0.3797
Space-group type: Cmcm
E_form (eV per atom): -0.189

Number 1: spin magnetization 0.000 μB/atom. Number 2: spin magnetization 0.041 μB/atom. Number 3: spin magnetization 0.000 μB/atom. Number 4: spin magnetization 0.000 μB/atom. Number 5: spin magnetization 0.000 μB/atom. Number 6: spin magnetization 0.000 μB/atom.